Material: NbCdCoRu
Method: DFT, GGA-PBE
State: optimized geometry

Lattice parameters (Å, degrees): 4.4331 4.4331 4.4331 60.00 60.00 60.00
With the nearest neighbours (Å) after each atom.
Atoms (fractional coordinates):
Nb: 0.0000 0.0000 0.0000  4 Co 2.71, 4 Ru 2.71
Cd: 0.5000 0.5000 0.5000  4 Co 2.71, 4 Ru 2.71
Co: 0.7500 0.7500 0.7500  4 Cd 2.71, 4 Nb 2.71
Ru: 0.2500 0.2500 0.2500  4 Cd 2.71, 4 Nb 2.71

Total magnetization   0.00 μB per atom
ΔE_f   0.1 eV per formula unit